(1)
A relaxed structure of YLuMgIn, computed with PBE.

The formation energy is -307 meV per atom. The density comes out at 6.5 g/cm3.

It has space group F-43m (No. 216), with a = 7.450 Å, b = 7.450 Å, c = 7.450 Å, α = 90.00°, β = 90.00° and γ = 90.00°. The distinct sites, in fractional coordinates, are Y at (0.000, 0.000, 0.000), Lu at (0.000, 0.000, 0.500), Mg at (0.250, 0.250, 0.750) and In at (0.250, 0.250, 0.250).

(2)
A relaxed structure of SrCo2Cu, computed with PBE.

The formation energy is 531 meV per atom. The value obtained for the offset from the most stable computed form is 426 meV/atom. The density comes out at 6.4 g/cm3.

It has space group P4/mmm (No. 123), with a = 3.243 Å, b = 3.243 Å, c = 6.654 Å, α = 90.00°, β = 90.00° and γ = 90.00°. The distinct sites, in fractional coordinates, are Sr at (0.000, 0.000, 0.000), Co at (0.500, 0.500, 0.335) and Cu at (0.000, 0.000, 0.500).

(3)
A relaxed structure of Tb4InSb, computed with PBE.

As for the formation energy from raw total energies: -0.332 eV per atom. The density comes out at 7.5 g/cm3.

It has space group Cmcm (No. 63), with a = 5.580 Å, b = 21.547 Å, c = 6.385 Å, α = 90.00°, β = 90.00° and γ = 90.00°. The distinct sites, in fractional coordinates, are Tb at (0.000, 0.066, 0.250), Tb at (0.000, 0.209, 0.000), Tb at (0.000, 0.368, 0.250), In at (0.000, 0.075, 0.750) and Sb at (0.000, 0.345, 0.750).

no.,total DFT energy (no corrections) (eV per atom)
1,-4.137
2,-4.467
3,-4.563